Mg2MnVW: optimized geometry, PBE.

Summary:
Total magnetization = 0.0688 μB per atom
DOS at the Fermi energy = 1.860 states/eV per atom
Formation energy = 1.7853 eV per atom
Crystal system = tetragonal

a b c (Å): 4.852 4.852 4.374
angles (deg): 90.00 90.00 90.00
Fractional positions:
Mg: 0.000 0.500 0.000
Mg: 0.500 0.000 0.000
Mn: 0.000 0.000 0.500
V: 0.500 0.500 0.000
W: 0.500 0.500 0.500